No. 1
The following is a PBE calculation of a relaxed NdDy7Tm5 crystal, from the Alexandria database.

The structure belongs to space group Imm2 (No. 44); the cell edges are 6.639, 11.121 and 11.471 Å and the angles 90.00°, 90.00° and 90.00°. The inequivalent atoms are Nd at (0.000, 0.000, 0.000), Dy at (0.000, 0.000, 0.304), Dy at (0.000, 0.000, 0.610), Dy at (0.000, 0.328, 0.051), Dy at (0.000, 0.328, 0.553), Dy at (0.000, 0.500, 0.298), Tm at (0.000, 0.500, 0.803) and Tm at (0.235, 0.230, 0.802).

The formation energy is 0.250 eV per atom. The value obtained for the calculated total energy is -112.2 eV/cell. Its calculated density is 8.34 g/cm3.

***

No. 2
The following is a PBE calculation of a relaxed Nd2Dy6Tm crystal, from the Alexandria database.

The structure belongs to space group C2/c (No. 15); the cell edges are 10.596, 17.734 and 6.175 Å and the angles 90.00°, 93.72° and 90.00°. The inequivalent atoms are Nd at (0.248, 0.088, 0.015), Dy at (0.084, 0.090, 0.507), Dy at (0.085, 0.422, 0.493), Dy at (0.166, 0.258, 0.256) and Tm at (0.000, 0.260, 0.750).

The formation energy is 0.112 eV per atom. The polymorph energy (0 for the lowest one) is 0.0 meV/atom. The value obtained for the calculated total energy is -162.4 eV/cell. Its calculated density is 8.22 g/cm3.

***

No. 3
The following is a PBE calculation of a relaxed Nd5DyTm5 crystal, from the Alexandria database.

The structure belongs to space group C2/m (No. 12); the cell edges are 18.904, 5.947 and 7.042 Å and the angles 90.00°, 111.75° and 90.00°. The inequivalent atoms are Nd at (0.000, 0.000, 0.000), Nd at (0.176, 0.500, 0.421), Nd at (0.177, 0.500, 0.933), Dy at (0.000, 0.500, 0.000), Tm at (0.000, 0.500, 0.500), Tm at (0.121, 0.000, 0.622) and Tm at (0.168, 0.000, 0.169).

The formation energy is 0.266 eV per atom. The value obtained for the calculated total energy is -95.8 eV/cell. Its calculated density is 7.81 g/cm3.